1.
DFT (GGA-PBE) results for a relaxed Cs2ReBrCl6 crystal.

The value obtained for the formation energy (no corrections) is -11.389 eV per formula unit. For the density of states at the Fermi level, the calculation gives 0.25 states/eV/atom. As for the energy above the most stable polymorph in this dataset: 0 meV/atom. The electronic total energy is -3.830 eV per atom. For the mass density, the calculation gives 3.52 g/cm3.

abc: 9.281 8.639 9.267
angles: 45.42 46.77 45.91
Site moments in Bohr magnetons follow the coordinates.
Fractional coordinates of all 10 atoms:
Cl  0.438  0.602  0.770  0.04
Cl  0.597  0.035  0.929  0.05
Cl  0.979  0.596  0.220  -0.01
Cl  0.118  0.429  0.894  0.04
Cl  0.151  0.030  0.390  -0.02
Cl  0.471  0.204  0.252  0.04
Br  0.041  0.818  0.326  -0.26
Cs  0.585  0.448  0.371  0.00
Cs  0.993  0.185  0.784  0.00
Re  0.289  0.316  0.078  1.83

2.
DFT (GGA-PBE) results for a relaxed Cs2ReBr2Cl4 crystal.

The value obtained for the formation energy (no corrections) is -11.160 eV per formula unit. The electronic total energy is -4.005 eV per atom. For the mass density, the calculation gives 4.01 g/cm3.

abc: 7.577 7.577 7.577
angles: 91.74 119.00 119.00
Site moments in Bohr magnetons follow the coordinates.
Fractional coordinates of all 9 atoms:
Cl  0.438  0.219  0.219  0.05
Cl  0.000  0.219  0.781  0.05
Cl  0.000  0.781  0.219  0.05
Cl  0.562  0.781  0.781  0.05
Cs  0.500  0.750  0.250  0.01
Cs  0.500  0.250  0.750  0.01
Re  0.000  0.000  0.000  2.24
Br  0.000  0.241  0.241  0.04
Br  0.000  0.759  0.759  0.04

3.
DFT (GGA-PBE) results for a relaxed Cs2ReBr5Cl crystal.

The value obtained for the formation energy (no corrections) is -9.794 eV per formula unit. The electronic total energy is -3.796 eV per atom. For the mass density, the calculation gives 4.42 g/cm3.

abc: 7.793 7.793 7.793
angles: 89.55 120.26 120.26
Site moments in Bohr magnetons follow the coordinates.
Fractional coordinates of all 9 atoms:
Cs  0.500  0.749  0.249  0.01
Cs  0.500  0.249  0.749  0.01
Br  0.000  0.228  0.228  0.04
Br  0.463  0.230  0.230  0.04
Br  0.000  0.230  0.767  0.04
Br  0.537  0.767  0.767  0.04
Br  0.000  0.767  0.230  0.04
Cl  0.000  0.783  0.783  0.06
Re  0.000  0.998  0.998  2.25

4.
DFT (GGA-PBE) results for a relaxed Cs2ReBr4Cl2 crystal.

The value obtained for the formation energy (no corrections) is -9.994 eV per formula unit. The electronic total energy is -3.837 eV per atom. For the mass density, the calculation gives 4.18 g/cm3.

abc: 6.764 7.650 7.650
angles: 58.79 97.63 97.63
Site moments in Bohr magnetons follow the coordinates.
Fractional coordinates of all 9 atoms:
Cl  0.312  0.137  0.137  0.06
Cl  0.688  0.863  0.863  0.06
Br  0.272  0.670  0.149  0.04
Br  0.728  0.330  0.851  0.04
Br  0.728  0.851  0.330  0.04
Br  0.272  0.149  0.670  0.04
Cs  0.275  0.656  0.656  0.00
Cs  0.725  0.344  0.344  0.00
Re  0.500  0.000  0.000  2.23

5.
DFT (GGA-PBE) results for a relaxed Cs2RhBr4Cl2 crystal.

The value obtained for the formation energy (no corrections) is -9.677 eV per formula unit. For the density of states at the Fermi level, the calculation gives 1.15 states/eV/atom. The electronic total energy is -3.236 eV per atom. For the mass density, the calculation gives 4.04 g/cm3.

abc: 7.735 7.735 7.735
angles: 85.20 122.81 122.81
Site moments in Bohr magnetons follow the coordinates.
Fractional coordinates of all 9 atoms:
Cs  0.500  0.250  0.750  0.00
Cs  0.500  0.750  0.250  0.00
Cl  0.000  0.792  0.792  0.02
Cl  0.000  0.208  0.208  0.02
Br  0.522  0.761  0.761  0.08
Br  0.000  0.761  0.239  0.08
Br  0.478  0.239  0.239  0.08
Br  0.000  0.239  0.761  0.08
Rh  0.000  0.000  0.000  0.56

6.
DFT (GGA-PBE) results for a relaxed CsRhBrCl2 crystal.

The value obtained for the formation energy (no corrections) is -4.513 eV per formula unit. For the density of states at the Fermi level, the calculation gives 0.87 states/eV/atom. The electronic total energy is -3.617 eV per atom. For the mass density, the calculation gives 4.87 g/cm3.

abc: 5.020 5.020 5.228
angles: 90.00 90.00 90.00
Fractional coordinates of all 5 atoms:
Br  0.000  0.000  0.500
Rh  0.000  0.000  0.000
Cs  0.500  0.500  0.500
Cl  0.000  0.500  0.000
Cl  0.500  0.000  0.000